Record 1
First-principles (GGA-PBE) data for a relaxed SrPrZnCd crystal, as listed in the Alexandria database.

a b c (Å): 5.4874 5.4874 5.4874
angles (deg): 60.00 60.00 60.00
Element x y z (fractional)
Sr1 0.0000 0.0000 0.0000
Pr1 0.5000 0.5000 0.5000
Zn1 0.7500 0.7500 0.7500
Cd1 0.2500 0.2500 0.2500

energy relative to the lowest polymorph listed for this composition: 24.7 meV per atom
formation energy from the elements: -254 meV per atom
space-group type: F-43m
crystal system: cubic


Record 2
First-principles (GGA-PBE) data for a relaxed KBC2N2 crystal, as listed in the Alexandria database.

a b c (Å): 9.2816 9.2816 9.2816
angles (deg): 124.18 124.18 82.91
Element x y z (fractional)
K1 0.0000 0.0000 0.0000
K2 0.5000 0.0000 0.0000
K3 0.5000 0.0000 0.5000
K4 0.5000 0.5000 0.5000
B1 0.0000 0.0000 0.5000
B2 0.0000 0.5000 0.0000
B3 0.0000 0.5000 0.5000
B4 0.5000 0.5000 0.0000
C1 0.1014 0.0631 0.7218
C2 0.1204 0.3986 0.4617
C3 0.1587 0.6204 0.2218
C4 0.4369 0.6587 0.0383
C5 0.5631 0.3413 0.9617
C6 0.8413 0.3796 0.7782
C7 0.8796 0.6014 0.5383
C8 0.8986 0.9369 0.2782
N1 0.1861 0.1137 0.9054
N2 0.2194 0.3139 0.4276
N3 0.2918 0.7194 0.4054
N4 0.3863 0.7918 0.0724
N5 0.6137 0.2082 0.9276
N6 0.7082 0.2806 0.5946
N7 0.7806 0.6861 0.5724
N8 0.8139 0.8863 0.0946

space-group type: I4_1/a
uncorrected formation energy: 0.245 eV/atom
crystal system: tetragonal


Computed density (g cm⁻³) in order:
5.8; 1.3